No. 1
## Sm6HgS5 (PBE-GGA)

Data for crystalline Sm6HgS5 at its relaxed geometry.

a = 7.0668 Å, b = 12.2172 Å, c = 7.0403 Å
α = 90.00°, β = 109.40°, γ = 90.00°
Space group C2/m (No. 12)
Unique sites:
Sm (0.2383, 0.0000, 0.2560) [4 per cell]
Sm (0.2405, 0.1737, 0.7424) [8 per cell]
Hg (0.0000, 0.5000, 0.0000) [2 per cell]
S (0.0000, 0.0000, 0.5000) [2 per cell]
S (0.0000, 0.1666, 0.0000) [4 per cell]
S (0.0000, 0.3371, 0.5000) [4 per cell]

E_tot (eV per atom): -5.84

No. 2
## Sc2HgSe (PBE-GGA)

Data for crystalline Sc2HgSe at its relaxed geometry.

a = 3.9043 Å, b = 5.5259 Å, c = 8.1139 Å
α = 90.00°, β = 90.00°, γ = 90.00°
Space group Immm (No. 71)
Unique sites:
Sc (0.0000, 0.0000, 0.2273) [4 per cell]
Hg (0.0000, 0.5000, 0.0000) [2 per cell]
Se (0.0000, 0.5000, 0.5000) [2 per cell]

E_tot (eV per atom): -4.82

No. 3
## Y2IrBr (PBE-GGA)

Data for crystalline Y2IrBr at its relaxed geometry.

a = 4.2833 Å, b = 5.7992 Å, c = 7.6218 Å
α = 90.00°, β = 90.00°, γ = 90.00°
Space group Immm (No. 71)
Unique sites:
Y (0.0000, 0.0000, 0.2381) [4 per cell]
Ir (0.0000, 0.5000, 0.5000) [2 per cell]
Br (0.0000, 0.5000, 0.0000) [2 per cell]

E_tot (eV per atom): -6.53

No. 4
## Re2SiTc (PBE-GGA)

Data for crystalline Re2SiTc at its relaxed geometry.

a = 3.7612 Å, b = 3.7612 Å, c = 4.0598 Å
α = 90.00°, β = 90.00°, γ = 90.00°
Space group P4/mmm (No. 123)
Unique sites:
Re (0.0000, 0.5000, 0.0000) [2 per cell]
Si (0.0000, 0.0000, 0.5000) [1 per cell]
Tc (0.5000, 0.5000, 0.5000) [1 per cell]

E_tot (eV per atom): -9.94

No. 5
## Na2NdPd9 (PBE-GGA)

Data for crystalline Na2NdPd9 at its relaxed geometry.

a = 5.3643 Å, b = 5.3643 Å, c = 26.7411 Å
α = 90.00°, β = 90.00°, γ = 120.00°
Space group R-3m (No. 166, hexagonal axes)
Unique sites:
Na (0.0000, 0.0000, 0.1448) [6 per cell]
Nd (0.0000, 0.0000, 0.0000) [3 per cell]
Pd (0.0000, 0.0000, 0.3330) [6 per cell]
Pd (0.0000, 0.0000, 0.5000) [3 per cell]
Pd (0.0018, 0.5009, 0.9157) [18 per cell]

Formation enthalpy at 0 K (meV per atom): -329

No. 6
## AcTm4Sn4 (PBE-GGA)

Data for crystalline AcTm4Sn4 at its relaxed geometry.

a = 9.9912 Å, b = 9.9912 Å, c = 6.0385 Å
α = 90.00°, β = 90.00°, γ = 90.00°
Space group P4_2/n (No. 86, origin choice 2)
Unique sites:
Ac (0.2500, 0.2500, 0.2500) [2 per cell]
Tm (0.1147, 0.6342, 0.1445) [8 per cell]
Sn (0.0629, 0.5868, 0.6616) [8 per cell]

Formation enthalpy at 0 K (meV per atom): -432